1.
PBE-GGA Rb2TeAuSe4, optimized geometry; ΔE_f (raw) = -393 meV/atom; total moment = 0.00 μB/cell; uncorrected energy = -3.18 eV per atom; V = 537 Å³/cell
1.0
5.608 0.000 0.000
2.804 8.122 0.000
2.804 0.000 11.783
Au Se Te Rb
2 8 2 4
Cartesian
0.000 0.000 0.000
7.010 4.061 5.892
2.915 2.328 4.130
9.702 6.389 10.021
8.523 5.794 7.654
5.496 2.328 7.654
4.317 1.733 10.021
5.496 5.794 4.130
4.094 1.733 1.762
4.317 6.389 1.762
2.804 0.000 0.000
4.206 4.061 5.892
7.010 4.061 1.546
5.608 0.000 4.346
2.804 0.000 7.438
7.010 4.061 10.237

***

2.
PBE-GGA LaSm2Rh, optimized geometry; polymorph energy (0 for the lowest one) = 32 meV/atom; total moment = 0.00 μB/cell; uncorrected energy = -5.86 eV per atom; V = 236 Å³/cell; ΔE_f = -0.4288 eV per atom
1.0
-3.304 1.494 1.406
0.463 -6.036 2.115
4.859 3.187 8.033
Rh Sm La
2 4 2
Cartesian
-1.013 -1.017 4.076
3.032 -0.338 7.478
1.759 -0.125 4.268
-0.007 -1.283 1.349
0.259 -1.230 7.286
2.025 -0.072 10.205
0.222 -3.632 4.366
1.797 2.277 7.188